LaSm6Cd2 after structural relaxation, computed with PBE-GGA.

abc: 9.8204 9.8204 6.1666
angles: 95.24 95.24 72.50
Element x y z (fractional)
La 0.1080 0.8920 0.7500
La 0.8920 0.1080 0.2500
Sm 0.0303 0.7313 0.1926
Sm 0.1037 0.3534 0.3352
Sm 0.2687 0.9697 0.3074
Sm 0.3236 0.5605 0.4903
Sm 0.3534 0.1037 0.8352
Sm 0.4395 0.6764 0.0097
Sm 0.5605 0.3236 0.9903
Sm 0.6466 0.8963 0.1648
Sm 0.6764 0.4395 0.5097
Sm 0.7313 0.0303 0.6926
Sm 0.8963 0.6466 0.6648
Sm 0.9697 0.2687 0.8074
Cd 0.2085 0.4635 0.9046
Cd 0.4635 0.2085 0.4046
Cd 0.5365 0.7915 0.5954
Cd 0.7915 0.5365 0.0954

- energy of formation (kJ/mol of formula units) = -54.3


CaGa2Pt2 after structural relaxation, computed with PBE-GGA.

abc: 7.7758 7.7758 2.8630
angles: 90.00 90.00 90.00
Element x y z (fractional)
Ca 0.0000 0.0000 0.0000
Ca 0.5000 0.5000 0.0000
Ga 0.1245 0.3755 0.0000
Ga 0.3755 0.8755 0.0000
Ga 0.6245 0.1245 0.0000
Ga 0.8755 0.6245 0.0000
Pt 0.1730 0.6730 0.5000
Pt 0.3270 0.1730 0.5000
Pt 0.6730 0.8270 0.5000
Pt 0.8270 0.3270 0.5000

- energy of formation (kJ/mol of formula units) = -329.7


SmTeO4 after structural relaxation, computed with PBE-GGA.

abc: 5.4194 5.4194 5.4194
angles: 95.43 95.43 144.15
Element x y z (fractional)
Sm 0.0000 0.0000 0.0000
Te 0.7500 0.2500 0.5000
O 0.2062 0.4274 0.7165
O 0.5103 0.7938 0.2212
O 0.5726 0.2891 0.7788
O 0.7109 0.4897 0.2835


TbPm2Dy after structural relaxation, computed with PBE-GGA.

abc: 11.8928 11.8928 11.8928
angles: 17.42 17.42 17.42
Element x y z (fractional)
Tb 0.0000 0.0000 0.0000
Pm 0.2498 0.2498 0.2498
Pm 0.7502 0.7502 0.7502
Dy 0.5000 0.5000 0.5000

- energy of formation (kJ/mol of formula units) = 4.7


Ac2TbTeO8 after structural relaxation, computed with PBE-GGA.

abc: 5.3538 7.1573 5.3707
angles: 90.00 91.47 90.00
Element x y z (fractional)
Ac 0.0000 0.2446 0.0000
Ac 0.0000 0.7554 0.0000
Tb 0.5000 0.5000 0.5000
Te 0.5000 0.0000 0.5000
O 0.2030 0.5000 0.2028
O 0.2418 0.0000 0.2429
O 0.3301 0.2088 0.6700
O 0.3301 0.7912 0.6700
O 0.6699 0.2088 0.3300
O 0.6699 0.7912 0.3300
O 0.7582 0.0000 0.7571
O 0.7970 0.5000 0.7972


TaNbPtW after structural relaxation, computed with PBE-GGA.

abc: 4.5851 4.5851 4.5851
angles: 60.00 60.00 60.00
Element x y z (fractional)
Ta 0.0000 0.0000 0.0000
Nb 0.5000 0.5000 0.5000
Pt 0.7500 0.7500 0.7500
W 0.2500 0.2500 0.2500

- energy of formation (kJ/mol of formula units) = -77.3


La3Nd3GaAu2 after structural relaxation, computed with PBE-GGA.

abc: 8.1054 8.1054 4.7330
angles: 90.00 90.00 120.00
Element x y z (fractional)
La 0.0000 0.7293 0.0000
La 0.2707 0.2707 0.0000
La 0.7293 0.0000 0.0000
Nd 0.0000 0.3986 0.5000
Nd 0.3986 0.0000 0.5000
Nd 0.6014 0.6014 0.5000
Ga 0.0000 0.0000 0.5000
Au 0.3333 0.6667 0.0000
Au 0.6667 0.3333 0.0000

- energy of formation (kJ/mol of formula units) = -396.4


SeINF2 after structural relaxation, computed with PBE-GGA.

abc: 4.1553 4.1553 4.5359
angles: 90.00 90.00 90.00
Element x y z (fractional)
Se 0.0000 0.0000 0.0000
I 0.5000 0.5000 0.5000
N 0.0000 0.0000 0.5000
F 0.0000 0.5000 0.0000
F 0.5000 0.0000 0.0000


Asked for calculated total energy across the records above, the calculation gives -3.960; -4.711; -6.262; -4.671; -7.035; -10.429; -4.753; -3.125 eV/atom in order.